Computed, not measured: a relaxed LaTaTl2 crystal at the PBE level of DFT.

Output
Space group   F-43m, No. 216
DFT formation energy   0.6331 eV per atom
Energy   -18.98 eV/cell

CIF file:
```
data_LaTaTl2
_cell_length_a 5.3835
_cell_length_b 5.3835
_cell_length_c 5.3835
_cell_angle_alpha 60.00
_cell_angle_beta 60.00
_cell_angle_gamma 60.00
_symmetry_space_group_name_H-M 'P 1'
_symmetry_Int_Tables_number 1
loop_
_symmetry_equiv_pos_as_xyz
'x,y,z'
loop_
_atom_site_label
_atom_site_type_symbol
_atom_site_fract_x
_atom_site_fract_y
_atom_site_fract_z
Tl1 Tl 0.2500 0.2500 0.2500
Tl2 Tl 0.0000 0.0000 0.0000
La1 La 0.5000 0.5000 0.5000
Ta1 Ta 0.7500 0.7500 0.7500
```

***

Computed, not measured: a relaxed BeCr3Tc crystal at the PBE level of DFT.

Output
Energy above the most stable polymorph in this dataset   0.809 eV per atom
Space group   Pm-3m, No. 221
DFT formation energy   1.6051 eV per atom
Energy   -34.94 eV/cell

CIF file:
```
data_BeCr3Tc
_cell_length_a 4.5738
_cell_length_b 4.5738
_cell_length_c 4.5738
_cell_angle_alpha 90.00
_cell_angle_beta 90.00
_cell_angle_gamma 90.00
_symmetry_space_group_name_H-M 'P 1'
_symmetry_Int_Tables_number 1
loop_
_symmetry_equiv_pos_as_xyz
'x,y,z'
loop_
_atom_site_label
_atom_site_type_symbol
_atom_site_fract_x
_atom_site_fract_y
_atom_site_fract_z
Cr1 Cr 0.0000 0.5000 0.0000
Cr2 Cr 0.5000 0.0000 0.0000
Cr3 Cr 0.0000 0.0000 0.5000
Be1 Be 0.5000 0.5000 0.5000
Tc1 Tc 0.0000 0.0000 0.0000
```

***

Computed, not measured: a relaxed Ca2MnZnC crystal at the PBE level of DFT.

Output
Space group   P4/mmm, No. 123
DFT formation energy   0.0131 eV per atom
Energy   -23.61 eV/cell

CIF file:
```
data_Ca2MnZnC
_cell_length_a 5.1611
_cell_length_b 5.1611
_cell_length_c 3.8104
_cell_angle_alpha 90.00
_cell_angle_beta 90.00
_cell_angle_gamma 90.00
_symmetry_space_group_name_H-M 'P 1'
_symmetry_Int_Tables_number 1
loop_
_symmetry_equiv_pos_as_xyz
'x,y,z'
loop_
_atom_site_label
_atom_site_type_symbol
_atom_site_fract_x
_atom_site_fract_y
_atom_site_fract_z
Ca1 Ca 0.0000 0.5000 0.0000
Ca2 Ca 0.5000 0.0000 0.0000
Mn1 Mn 0.0000 0.0000 0.5000
Zn1 Zn 0.5000 0.5000 0.5000
C1 C 0.0000 0.0000 0.0000
```